Record 1
First-principles (GGA+U) data for an optimized crystal structure of MnPt2O6, as listed in Alexandria via LeMat-Bulk.

total magnetization: 2.9 Bohr magnetons per cell
calculated total energy: -6.159 eV/atom
V: 11.592 Å³/atom

abc: 4.422 5.220 5.220
angles: 120.00 90.00 90.00
Last column: magnetic moment on the atom in μB.
Positions (direct):
1 O 0.745 0.648 0.648  -0.16
2 Pt 0.500 0.667 0.333  -0.23
3 Mn 0.000 0.000 0.000  4.38
4 O 0.255 0.000 0.648  -0.16
5 O 0.255 0.648 0.000  -0.16
6 O 0.255 0.352 0.352  -0.16
7 O 0.745 0.352 0.000  -0.16
8 Pt 0.500 0.333 0.667  -0.23
9 O 0.745 0.000 0.352  -0.16

***

Record 2
First-principles (GGA+U) data for an optimized crystal structure of MnPt3O8, as listed in Alexandria via LeMat-Bulk.

total magnetization: 3.0 Bohr magnetons per cell
calculated total energy: -6.093 eV/atom
V: 13.686 Å³/atom

abc: 6.228 6.228 6.086
angles: 121.04 90.00 120.00
Last column: magnetic moment on the atom in μB.
Positions (direct):
1 Pt 0.000 0.500 0.000  -0.02
2 O 0.228 0.455 0.194  -0.08
3 O 0.266 0.533 0.801  0.00
4 O 0.772 0.032 0.806  -0.08
5 O 0.772 0.545 0.806  -0.08
6 O 0.740 0.968 0.194  -0.08
7 O 0.260 0.032 0.806  -0.08
8 O 0.228 0.968 0.194  -0.08
9 Mn 0.000 0.000 0.000  3.51
10 O 0.734 0.467 0.199  0.00
11 Pt 0.500 0.500 0.000  -0.02
12 Pt 0.500 0.000 0.000  -0.01

***

Record 3
First-principles (GGA+U) data for an optimized crystal structure of Mn2PtO4, as listed in Alexandria via LeMat-Bulk.

total magnetization: 10.0 Bohr magnetons per cell
calculated total energy: -6.937 eV/atom
V: 12.082 Å³/atom

abc: 3.231 5.476 6.056
angles: 123.56 105.47 90.00
Last column: magnetic moment on the atom in μB.
Positions (direct):
1 O 0.124 0.849 0.248  0.08
2 Pt 0.000 0.000 0.000  0.14
3 O 0.380 0.736 0.759  0.03
4 Mn 0.682 0.705 0.363  4.58
5 O 0.620 0.264 0.241  0.03
6 O 0.876 0.151 0.752  0.08
7 Mn 0.318 0.295 0.637  4.58

***

Record 4
First-principles (GGA+U) data for an optimized crystal structure of Mn2PtO, as listed in Alexandria via LeMat-Bulk.

total magnetization: 9.6 Bohr magnetons per cell
calculated total energy: -7.309 eV/atom
V: 14.048 Å³/atom

abc: 3.063 3.063 7.138
angles: 77.61 77.61 60.00
Last column: magnetic moment on the atom in μB.
Positions (direct):
1 Mn 0.232 0.232 0.303  4.48
2 O 0.500 0.500 0.500  0.11
3 Pt 0.000 0.000 0.000  0.18
4 Mn 0.768 0.768 0.697  4.48

***

Record 5
First-principles (GGA+U) data for an optimized crystal structure of Mn2Pt3O8, as listed in Alexandria via LeMat-Bulk.

total magnetization: 10.0 Bohr magnetons per cell
calculated total energy: -6.465 eV/atom
V: 12.703 Å³/atom

abc: 5.381 5.952 5.952
angles: 62.85 78.76 78.76
Last column: magnetic moment on the atom in μB.
Positions (direct):
1 O 0.866 0.106 0.658  0.02
2 O 0.624 0.100 0.100  0.02
3 Pt 0.500 0.251 0.749  0.05
4 Pt 0.500 0.749 0.251  0.05
5 O 0.134 0.894 0.342  0.02
6 Mn 0.097 0.298 0.298  4.61
7 O 0.866 0.658 0.106  0.02
8 O 0.391 0.398 0.398  0.01
9 O 0.134 0.342 0.894  0.02
10 Pt 0.000 0.000 0.000  0.05
11 Mn 0.903 0.702 0.702  4.61
12 O 0.609 0.602 0.602  0.01
13 O 0.376 0.900 0.900  0.02

***

Record 6
First-principles (GGA+U) data for an optimized crystal structure of PuMnPtO6, as listed in Alexandria via LeMat-Bulk.

total magnetization: 14.0 Bohr magnetons per cell
calculated total energy: -8.044 eV/atom
V: 12.690 Å³/atom

abc: 5.264 5.264 9.518
angles: 90.00 90.00 120.00
Last column: magnetic moment on the atom in μB.
Positions (direct):
1 O 0.008 0.345 0.131  -0.08
2 O 0.992 0.337 0.631  -0.08
3 O 0.992 0.655 0.869  -0.08
4 O 0.337 0.345 0.369  -0.08
5 Pu 0.667 0.333 0.250  2.79
6 O 0.008 0.663 0.369  -0.08
7 O 0.655 0.663 0.131  -0.08
8 O 0.663 0.655 0.631  -0.08
9 Pu 0.333 0.667 0.750  2.79
10 O 0.663 0.008 0.869  -0.08
11 O 0.345 0.008 0.631  -0.08
12 Pt 0.667 0.333 0.750  0.03
13 O 0.345 0.337 0.869  -0.08
14 O 0.337 0.992 0.131  -0.08
15 Mn 0.000 0.000 0.000  4.53
16 Pt 0.333 0.667 0.250  0.03
17 Mn 0.000 0.000 0.500  4.53
18 O 0.655 0.992 0.369  -0.08

***

Record 7
First-principles (GGA+U) data for an optimized crystal structure of MnPtRh2O6, as listed in Alexandria via LeMat-Bulk.

total magnetization: 5.0 Bohr magnetons per cell
calculated total energy: -6.596 eV/atom
V: 11.411 Å³/atom

abc: 5.277 5.277 5.628
angles: 62.05 62.05 60.00
Last column: magnetic moment on the atom in μB.
Positions (direct):
1 O 0.610 0.225 0.244  0.02
2 O 0.921 0.610 0.244  0.02
3 Rh 0.012 0.012 0.965  0.03
4 O 0.126 0.402 0.755  0.01
5 O 0.716 0.126 0.755  0.01
6 O 0.225 0.921 0.244  0.02
7 Mn 0.808 0.808 0.576  4.57
8 O 0.402 0.716 0.755  0.01
9 Pt 0.322 0.322 0.035  0.07
10 Rh 0.520 0.520 0.441  0.05

***

Record 8
First-principles (GGA+U) data for an optimized crystal structure of MnRuPtO6, as listed in Alexandria via LeMat-Bulk.

total magnetization: 4.4 Bohr magnetons per cell
calculated total energy: -6.699 eV/atom
V: 11.537 Å³/atom

abc: 5.156 5.156 9.021
angles: 90.00 90.00 120.00
Last column: magnetic moment on the atom in μB.
Positions (direct):
1 O 0.644 0.993 0.870  -0.12
2 O 0.644 0.651 0.630  -0.12
3 O 0.356 0.349 0.370  -0.12
4 O 0.007 0.356 0.630  -0.12
5 O 0.993 0.349 0.130  -0.12
6 O 0.349 0.993 0.630  -0.12
7 Ru 0.667 0.333 0.250  -1.38
8 Pt 0.667 0.333 0.750  -0.10
9 O 0.349 0.356 0.870  -0.12
10 O 0.651 0.007 0.370  -0.12
11 Mn 0.000 0.000 0.000  4.41
12 Ru 0.333 0.667 0.750  -1.38
13 O 0.356 0.007 0.130  -0.12
14 O 0.651 0.644 0.130  -0.12
15 O 0.007 0.651 0.870  -0.12
16 Pt 0.333 0.667 0.250  -0.10
17 O 0.993 0.644 0.370  -0.12
18 Mn 0.000 0.000 0.500  4.41

***

Record 9
First-principles (GGA+U) data for an optimized crystal structure of MnSnPtO, as listed in Alexandria via LeMat-Bulk.

total magnetization: 9.7 Bohr magnetons per cell
distance to the lowest polymorph of the same formula: 0.042 eV per atom
V: 20.283 Å³/atom

abc: 3.793 3.758 11.384
angles: 90.00 90.00 90.00
Last column: magnetic moment on the atom in μB.
Positions (direct):
1 Mn 0.500 0.000 0.241  4.52
2 Sn 0.000 0.500 0.979  0.01
3 Sn 0.000 0.000 0.479  0.01
4 Mn 0.500 0.500 0.741  4.52
5 Pt 0.500 0.500 0.508  0.06
6 Pt 0.500 0.000 0.008  0.06
7 O 0.000 0.000 0.293  0.00
8 O 0.000 0.500 0.793  0.00

***

Record 10
First-principles (GGA+U) data for an optimized crystal structure of MnSnPtO, as listed in Alexandria via LeMat-Bulk.

total magnetization: 8.7 Bohr magnetons per cell
distance to the lowest polymorph of the same formula: 0.265 eV per atom
V: 18.874 Å³/atom

abc: 3.591 3.470 12.115
angles: 90.00 90.00 90.00
Last column: magnetic moment on the atom in μB.
Positions (direct):
1 O 0.000 0.000 0.875  -0.06
2 Sn 0.500 0.500 0.689  -0.03
3 Pt 0.000 0.000 0.594  0.06
4 Mn 0.000 0.500 0.418  4.20
5 Sn 0.000 0.000 0.189  -0.03
6 Mn 0.500 0.000 0.918  4.20
7 Pt 0.500 0.500 0.094  0.06
8 O 0.500 0.500 0.375  -0.06

***

Record 11
First-principles (GGA+U) data for an optimized crystal structure of MnSnPtO, as listed in Alexandria via LeMat-Bulk.

total magnetization: 4.8 Bohr magnetons per cell
distance to the lowest polymorph of the same formula: 0.073 eV per atom
V: 18.739 Å³/atom

abc: 3.607 4.652 5.658
angles: 60.32 71.35 66.98
Last column: magnetic moment on the atom in μB.
Positions (direct):
1 Mn 0.725 0.728 0.214  4.55
2 Pt 0.595 0.399 0.804  0.03
3 Sn 0.337 0.096 0.626  -0.03
4 O 0.352 0.486 0.204  0.04

***

Record 12
First-principles (GGA+U) data for an optimized crystal structure of MnSnPtO, as listed in Alexandria via LeMat-Bulk.

total magnetization: 9.6 Bohr magnetons per cell
distance to the lowest polymorph of the same formula: 0.181 eV per atom
V: 16.393 Å³/atom

abc: 2.987 3.438 12.769
angles: 90.00 90.00 90.00
Last column: magnetic moment on the atom in μB.
Positions (direct):
1 O 0.500 0.000 0.333  0.02
2 Pt 0.500 0.000 0.078  0.10
3 Sn 0.000 0.000 0.719  0.02
4 Mn 0.000 0.500 0.946  4.45
5 Pt 0.500 0.500 0.578  0.10
6 Sn 0.000 0.500 0.219  0.02
7 Mn 0.000 0.000 0.446  4.45
8 O 0.500 0.500 0.833  0.02

***

Record 13
First-principles (GGA+U) data for an optimized crystal structure of MnSnPtO, as listed in Alexandria via LeMat-Bulk.

total magnetization: 9.8 Bohr magnetons per cell
distance to the lowest polymorph of the same formula: 0.122 eV per atom
V: 20.792 Å³/atom

abc: 6.728 3.002 9.615
angles: 90.00 121.09 90.00
Last column: magnetic moment on the atom in μB.
Positions (direct):
1 Pt 0.320 0.500 0.196  0.07
2 O 0.921 0.500 0.303  0.04
3 Sn 0.227 0.500 0.892  0.01
4 O 0.921 0.000 0.803  0.04
5 Pt 0.320 0.000 0.696  0.07
6 Mn 0.685 0.000 0.259  4.52
7 Mn 0.685 0.500 0.759  4.52
8 Sn 0.227 0.000 0.392  0.01

***

Record 14
First-principles (GGA+U) data for an optimized crystal structure of MnSnPtO, as listed in Alexandria via LeMat-Bulk.

total magnetization: 4.9 Bohr magnetons per cell
distance to the lowest polymorph of the same formula: 0.075 eV per atom
V: 19.429 Å³/atom

abc: 3.521 3.519 8.299
angles: 64.96 64.89 60.07
Last column: magnetic moment on the atom in μB.
Positions (direct):
1 Sn 0.293 0.230 0.753  0.00
2 O 0.321 0.256 0.211  0.06
3 Pt 0.118 0.053 0.517  0.06
4 Mn 0.019 0.954 0.164  4.56

***

Record 15
First-principles (GGA+U) data for an optimized crystal structure of MnSnPtO, as listed in Alexandria via LeMat-Bulk.

total magnetization: 9.9 Bohr magnetons per cell
distance to the lowest polymorph of the same formula: 0.110 eV per atom
V: 16.067 Å³/atom

abc: 8.006 3.122 5.667
angles: 90.00 114.85 90.00
Last column: magnetic moment on the atom in μB.
Positions (direct):
1 O 0.923 0.500 0.056  0.04
2 Mn 0.767 0.000 0.141  4.49
3 Sn 0.185 0.000 0.151  0.03
4 O 0.923 0.000 0.556  0.04
5 Pt 0.480 0.500 0.141  0.17
6 Sn 0.185 0.500 0.651  0.03
7 Pt 0.480 0.000 0.641  0.17
8 Mn 0.767 0.500 0.641  4.49

***

Record 16
First-principles (GGA+U) data for an optimized crystal structure of MnSnPtO, as listed in Alexandria via LeMat-Bulk.

total magnetization: 9.9 Bohr magnetons per cell
distance to the lowest polymorph of the same formula: 0.156 eV per atom
V: 18.306 Å³/atom

abc: 3.354 3.086 14.146
angles: 90.00 90.00 90.00
Last column: magnetic moment on the atom in μB.
Positions (direct):
1 Mn 0.000 0.500 0.463  4.46
2 Sn 0.500 0.500 0.227  0.05
3 Pt 0.000 0.500 0.066  0.15
4 Pt 0.500 0.000 0.566  0.15
5 O 0.000 0.500 0.321  0.02
6 Sn 0.000 0.000 0.727  0.05
7 O 0.500 0.000 0.821  0.02
8 Mn 0.500 0.000 0.963  4.46

***

Record 17
First-principles (GGA+U) data for an optimized crystal structure of MnSnPtO, as listed in Alexandria via LeMat-Bulk.

total magnetization: 4.8 Bohr magnetons per cell
distance to the lowest polymorph of the same formula: 0.082 eV per atom
V: 18.137 Å³/atom

abc: 4.104 3.419 5.196
angles: 90.00 95.60 90.00
Last column: magnetic moment on the atom in μB.
Positions (direct):
1 Mn 0.328 0.000 0.340  4.50
2 Sn 0.719 0.500 0.923  -0.01
3 O 0.400 0.000 0.946  0.01
4 Pt 0.845 0.500 0.436  0.09

***

Record 18
First-principles (GGA+U) data for an optimized crystal structure of MnSnPtO, as listed in Alexandria via LeMat-Bulk.

total magnetization: 9.9 Bohr magnetons per cell
distance to the lowest polymorph of the same formula: 0.159 eV per atom
V: 17.390 Å³/atom

abc: 4.697 3.204 10.140
angles: 90.00 114.27 90.00
Last column: magnetic moment on the atom in μB.
Positions (direct):
1 O 0.602 0.000 0.410  0.05
2 Mn 0.853 0.500 0.380  4.51
3 Pt 0.384 0.500 0.068  0.12
4 Sn 0.169 0.500 0.718  0.00
5 Pt 0.384 0.000 0.568  0.12
6 Mn 0.853 0.000 0.880  4.51
7 Sn 0.169 0.000 0.218  0.00
8 O 0.602 0.500 0.910  0.05

***

Record 19
First-principles (GGA+U) data for an optimized crystal structure of MnSnPtO, as listed in Alexandria via LeMat-Bulk.

total magnetization: 5.0 Bohr magnetons per cell
distance to the lowest polymorph of the same formula: 0.029 eV per atom
V: 16.867 Å³/atom

abc: 3.295 3.294 7.428
angles: 90.00 77.17 59.99
Last column: magnetic moment on the atom in μB.
Positions (direct):
1 Sn 0.688 0.406 0.797  0.03
2 O 0.493 0.504 0.091  0.04
3 Pt 0.536 0.982 0.525  0.15
4 Mn 0.064 0.219 0.233  4.52

***

Record 20
First-principles (GGA+U) data for an optimized crystal structure of MnSnPtO, as listed in Alexandria via LeMat-Bulk.

total magnetization: 9.7 Bohr magnetons per cell
distance to the lowest polymorph of the same formula: 0.033 eV per atom
V: 16.399 Å³/atom

abc: 3.017 3.380 13.217
angles: 90.00 103.22 90.00
Last column: magnetic moment on the atom in μB.
Positions (direct):
1 Pt 0.301 0.000 0.234  0.12
2 O 0.548 0.000 0.981  0.03
3 Mn 0.932 0.000 0.865  4.49
4 O 0.548 0.500 0.481  0.03
5 Sn 0.665 0.500 0.097  0.02
6 Pt 0.301 0.500 0.734  0.12
7 Mn 0.932 0.500 0.365  4.49
8 Sn 0.665 0.000 0.597  0.02

***

Record 21
First-principles (GGA+U) data for an optimized crystal structure of MnSnPtO, as listed in Alexandria via LeMat-Bulk.

total magnetization: 4.9 Bohr magnetons per cell
distance to the lowest polymorph of the same formula: 0.000 eV per atom
V: 20.541 Å³/atom

abc: 3.205 4.276 8.493
angles: 46.93 79.14 90.01
Last column: magnetic moment on the atom in μB.
Positions (direct):
1 O 0.435 0.030 0.052  0.04
2 Sn 0.262 0.539 0.398  0.01
3 Mn 0.032 0.360 0.858  4.52
4 Pt 0.716 0.917 0.489  0.05

***

Record 22
First-principles (GGA+U) data for an optimized crystal structure of MnSnPtO, as listed in Alexandria via LeMat-Bulk.

total magnetization: 9.9 Bohr magnetons per cell
distance to the lowest polymorph of the same formula: 0.067 eV per atom
V: 16.838 Å³/atom

abc: 7.589 3.223 5.689
angles: 90.00 104.51 90.00
Last column: magnetic moment on the atom in μB.
Positions (direct):
1 Sn 0.201 0.500 0.800  0.03
2 O 0.911 0.500 0.706  0.06
3 Sn 0.201 0.000 0.300  0.03
4 Mn 0.768 0.500 0.989  4.54
5 Pt 0.475 0.000 0.061  0.11
6 Mn 0.768 0.000 0.489  4.54
7 Pt 0.475 0.500 0.561  0.11
8 O 0.911 0.000 0.206  0.06

***

Record 23
First-principles (GGA+U) data for an optimized crystal structure of SrMnPtO6, as listed in Alexandria via LeMat-Bulk.

total magnetization: 1.0 Bohr magnetons per cell
calculated total energy: -6.275 eV/atom
V: 13.980 Å³/atom

abc: 5.169 5.169 5.438
angles: 90.00 90.00 60.00
Last column: magnetic moment on the atom in μB.
Positions (direct):
1 O 0.631 0.377 0.697  -0.22
2 O 0.992 0.631 0.697  -0.22
3 Sr 0.000 0.000 0.000  -0.01
4 Pt 0.333 0.333 0.500  -0.61
5 O 0.377 0.631 0.303  -0.22
6 O 0.631 0.992 0.303  -0.22
7 O 0.992 0.377 0.303  -0.22
8 O 0.377 0.992 0.697  -0.22
9 Mn 0.667 0.667 0.500  3.11

***

Record 24
First-principles (GGA+U) data for an optimized crystal structure of TiMnPt2O, as listed in Alexandria via LeMat-Bulk.

total magnetization: 0.0 Bohr magnetons per cell
calculated total energy: -4.867 eV/atom
V: 17.944 Å³/atom

abc: 4.476 4.478 4.476
angles: 90.00 90.00 90.00
Positions (direct):
1 Ti 0.000 0.500 0.000
2 Pt 0.500 0.000 0.000
3 O 0.500 0.500 0.500
4 Pt 0.000 0.000 0.500
5 Mn 0.000 0.000 0.000